# Dy6VSn10 | Alexandria | PBE-GGA | optimized geometry
data_Dy6VSn10
_chemical_formula_sum 'Dy6 V1 Sn10'
_space_group_name_H-M_alt 'P 1'
_space_group_IT_number 1
_cell_length_a 9.1023
_cell_length_b 9.1023
_cell_length_c 6.1558
_cell_angle_alpha 90.00
_cell_angle_beta 90.00
_cell_angle_gamma 120.00
loop_
_space_group_symop_operation_xyz
'x,y,z'
loop_
_atom_site_label
_atom_site_fract_x
_atom_site_fract_y
_atom_site_fract_z
_atom_site_occupancy
Dy1 0.0000 0.3915 0.2537 1
Dy2 0.0000 0.6085 0.7463 1
Dy3 0.3915 0.0000 0.2537 1
Dy4 0.3915 0.3915 0.7463 1
Dy5 0.6085 0.0000 0.7463 1
Dy6 0.6085 0.6085 0.2537 1
V1 0.0000 0.0000 0.5000 1
Sn1 0.0000 0.2294 0.7822 1
Sn2 0.0000 0.7706 0.2178 1
Sn3 0.2294 0.0000 0.7822 1
Sn4 0.2294 0.2294 0.2178 1
Sn5 0.3333 0.6667 0.0000 1
Sn6 0.3333 0.6667 0.5000 1
Sn7 0.6667 0.3333 0.0000 1
Sn8 0.6667 0.3333 0.5000 1
Sn9 0.7706 0.0000 0.2178 1
Sn10 0.7706 0.7706 0.7822 1
# Electronic total energy (eV per cell): -84.58
# Magnetic moment (μB/atom): 0.00


# Sr6LiBr12 | Alexandria | PBE-GGA | optimized geometry
data_Sr6LiBr12
_chemical_formula_sum 'Sr6 Li1 Br12'
_space_group_name_H-M_alt 'P 1'
_space_group_IT_number 1
_cell_length_a 8.9115
_cell_length_b 8.9115
_cell_length_c 8.9115
_cell_angle_alpha 99.72
_cell_angle_beta 99.72
_cell_angle_gamma 99.72
loop_
_space_group_symop_operation_xyz
'x,y,z'
loop_
_atom_site_label
_atom_site_fract_x
_atom_site_fract_y
_atom_site_fract_z
_atom_site_occupancy
Sr1 0.1304 0.6236 0.2890 1
Sr2 0.2890 0.1304 0.6236 1
Sr3 0.3764 0.7110 0.8696 1
Sr4 0.6236 0.2890 0.1304 1
Sr5 0.7110 0.8696 0.3764 1
Sr6 0.8696 0.3764 0.7110 1
Li1 0.0000 0.0000 0.0000 1
Br1 0.0407 0.6891 0.9320 1
Br2 0.0680 0.9593 0.3109 1
Br3 0.1771 0.4334 0.5823 1
Br4 0.3109 0.0680 0.9593 1
Br5 0.4177 0.8229 0.5666 1
Br6 0.4334 0.5823 0.1771 1
Br7 0.5666 0.4177 0.8229 1
Br8 0.5823 0.1771 0.4334 1
Br9 0.6891 0.9320 0.0407 1
Br10 0.8229 0.5666 0.4177 1
Br11 0.9320 0.0407 0.6891 1
Br12 0.9593 0.3109 0.0680 1
# Electronic total energy (eV per cell): -69.12
# Raw formation energy (kJ per mole of atoms): -188.08
# Magnetic moment (μB/atom): 0.00


# AcMgZnCu | Alexandria | PBE-GGA | optimized geometry
data_AcMgZnCu
_chemical_formula_sum 'Ac1 Mg1 Zn1 Cu1'
_space_group_name_H-M_alt 'P 1'
_space_group_IT_number 1
_cell_length_a 4.6484
_cell_length_b 4.6484
_cell_length_c 5.7795
_cell_angle_alpha 113.78
_cell_angle_beta 113.78
_cell_angle_gamma 59.99
loop_
_space_group_symop_operation_xyz
'x,y,z'
loop_
_atom_site_label
_atom_site_fract_x
_atom_site_fract_y
_atom_site_fract_z
_atom_site_occupancy
Ac1 0.0000 0.0000 0.0000 1
Mg1 0.4932 0.4932 0.4797 1
Zn1 0.2075 0.2075 0.6224 1
Cu1 0.8016 0.8016 0.4050 1
# Electronic total energy (eV per cell): -11.78
# Energy relative to the lowest polymorph listed for this composition (eV/f.u.): 0.000
# Magnetic moment (μB/atom): 0.00


# RbNa2InAs | Alexandria | PBE-GGA | optimized geometry
data_RbNa2InAs
_chemical_formula_sum 'Rb1 Na2 In1 As1'
_space_group_name_H-M_alt 'P 1'
_space_group_IT_number 1
_cell_length_a 5.6587
_cell_length_b 5.6587
_cell_length_c 5.9281
_cell_angle_alpha 90.00
_cell_angle_beta 90.00
_cell_angle_gamma 90.00
loop_
_space_group_symop_operation_xyz
'x,y,z'
loop_
_atom_site_label
_atom_site_fract_x
_atom_site_fract_y
_atom_site_fract_z
_atom_site_occupancy
Rb1 0.0000 0.0000 0.0000 1
Na1 0.0000 0.5000 0.5000 1
Na2 0.5000 0.0000 0.5000 1
In1 0.5000 0.5000 0.0000 1
As1 0.5000 0.5000 0.5000 1
# Electronic total energy (eV per cell): -11.51
# Magnetic moment (μB/atom): 0.00


# Tb2CeHoAs4 | Alexandria | PBE-GGA | optimized geometry
data_Tb2CeHoAs4
_chemical_formula_sum 'Tb2 Ce1 Ho1 As4'
_space_group_name_H-M_alt 'P 1'
_space_group_IT_number 1
_cell_length_a 7.1759
_cell_length_b 4.1481
_cell_length_c 7.1810
_cell_angle_alpha 90.00
_cell_angle_beta 109.41
_cell_angle_gamma 90.00
loop_
_space_group_symop_operation_xyz
'x,y,z'
loop_
_atom_site_label
_atom_site_fract_x
_atom_site_fract_y
_atom_site_fract_z
_atom_site_occupancy
Tb1 0.0000 0.0000 0.0000 1
Tb2 0.5000 0.5000 0.0000 1
Ce1 0.0000 0.5000 0.5000 1
Ho1 0.5000 0.0000 0.5000 1
As1 0.2524 0.0000 0.7508 1
As2 0.2519 0.5000 0.2514 1
As3 0.7476 0.0000 0.2492 1
As4 0.7481 0.5000 0.7486 1
# Electronic total energy (eV per cell): -50.45
# Magnetic moment (μB/atom): 0.07


# La4Co2I5 | Alexandria | PBE-GGA | optimized geometry
data_La4Co2I5
_chemical_formula_sum 'La4 Co2 I5'
_space_group_name_H-M_alt 'P 1'
_space_group_IT_number 1
_cell_length_a 11.1533
_cell_length_b 11.1533
_cell_length_c 9.1049
_cell_angle_alpha 114.08
_cell_angle_beta 114.08
_cell_angle_gamma 22.33
loop_
_space_group_symop_operation_xyz
'x,y,z'
loop_
_atom_site_label
_atom_site_fract_x
_atom_site_fract_y
_atom_site_fract_z
_atom_site_occupancy
La1 0.9999 0.9999 0.2057 1
La2 0.0001 0.0001 0.7943 1
La3 0.3316 0.3316 0.8317 1
La4 0.6684 0.6684 0.1683 1
Co1 0.4459 0.4459 0.9464 1
Co2 0.5541 0.5541 0.0536 1
I1 0.1657 0.1657 0.4438 1
I2 0.1657 0.1657 0.8873 1
I3 0.5000 0.5000 0.5000 1
I4 0.8343 0.8343 0.1127 1
I5 0.8343 0.8343 0.5562 1
# Electronic total energy (eV per cell): -51.82
# Energy relative to the lowest polymorph listed for this composition (eV/f.u.): 0.382
# Raw formation energy (kJ per mole of atoms): -89.05
# Magnetic moment (μB/atom): 0.05


# Er6InSi2Se3 | Alexandria | PBE-GGA | optimized geometry
data_Er6InSi2Se3
_chemical_formula_sum 'Er6 In1 Si2 Se3'
_space_group_name_H-M_alt 'P 1'
_space_group_IT_number 1
_cell_length_a 9.3325
_cell_length_b 9.3325
_cell_length_c 8.3445
_cell_angle_alpha 107.02
_cell_angle_beta 107.02
_cell_angle_gamma 25.26
loop_
_space_group_symop_operation_xyz
'x,y,z'
loop_
_atom_site_label
_atom_site_fract_x
_atom_site_fract_y
_atom_site_fract_z
_atom_site_occupancy
Er1 0.0004 0.0004 0.2350 1
Er2 0.9996 0.9996 0.7650 1
Er3 0.3280 0.3280 0.4101 1
Er4 0.3275 0.3275 0.9337 1
Er5 0.6725 0.6725 0.0663 1
Er6 0.6720 0.6720 0.5899 1
In1 0.5000 0.5000 0.5000 1
Si1 0.1627 0.1627 0.8219 1
Si2 0.8373 0.8373 0.1781 1
Se1 0.1667 0.1667 0.3256 1
Se2 0.5000 0.5000 0.0000 1
Se3 0.8333 0.8333 0.6744 1
# Electronic total energy (eV per cell): -65.39
# Raw formation energy (kJ per mole of atoms): -112.39
# Magnetic moment (μB/atom): 0.00


# MgCuTe | Alexandria | PBE-GGA | optimized geometry
data_MgCuTe
_chemical_formula_sum 'Mg1 Cu1 Te1'
_space_group_name_H-M_alt 'P 1'
_space_group_IT_number 1
_cell_length_a 4.2242
_cell_length_b 4.2242
_cell_length_c 4.2464
_cell_angle_alpha 90.00
_cell_angle_beta 90.00
_cell_angle_gamma 120.00
loop_
_space_group_symop_operation_xyz
'x,y,z'
loop_
_atom_site_label
_atom_site_fract_x
_atom_site_fract_y
_atom_site_fract_z
_atom_site_occupancy
Mg1 0.0000 0.0000 0.0000 1
Cu1 0.3333 0.6667 0.6886 1
Te1 0.6667 0.3333 0.4614 1
# Electronic total energy (eV per cell): -9.29
# Energy relative to the lowest polymorph listed for this composition (eV/f.u.): 0.466
# Raw formation energy (kJ per mole of atoms): -14.63
# Magnetic moment (μB/atom): 0.00


# Ba3PuN4 | Alexandria | PBE-GGA | optimized geometry
data_Ba3PuN4
_chemical_formula_sum 'Ba12 Pu4 N16'
_space_group_name_H-M_alt 'P 1'
_space_group_IT_number 1
_cell_length_a 8.0051
_cell_length_b 9.8647
_cell_length_c 8.4416
_cell_angle_alpha 90.00
_cell_angle_beta 90.00
_cell_angle_gamma 90.00
loop_
_space_group_symop_operation_xyz
'x,y,z'
loop_
_atom_site_label
_atom_site_fract_x
_atom_site_fract_y
_atom_site_fract_z
_atom_site_occupancy
Ba1 0.0111 0.0408 0.2397 1
Ba2 0.0111 0.4592 0.2397 1
Ba3 0.2328 0.7500 0.4534 1
Ba4 0.2672 0.2500 0.9534 1
Ba5 0.4889 0.5408 0.7397 1
Ba6 0.4889 0.9592 0.7397 1
Ba7 0.5111 0.0408 0.2603 1
Ba8 0.5111 0.4592 0.2603 1
Ba9 0.7328 0.7500 0.0466 1
Ba10 0.7672 0.2500 0.5466 1
Ba11 0.9889 0.5408 0.7603 1
Ba12 0.9889 0.9592 0.7603 1
Pu1 0.2463 0.2500 0.5359 1
Pu2 0.2537 0.7500 0.0359 1
Pu3 0.7463 0.2500 0.9641 1
Pu4 0.7537 0.7500 0.4641 1
N1 0.0265 0.7500 0.1797 1
N2 0.2210 0.7500 0.7862 1
N3 0.2299 0.0525 0.5350 1
N4 0.2299 0.4475 0.5350 1
N5 0.2701 0.5525 0.0350 1
N6 0.2701 0.9475 0.0350 1
N7 0.2790 0.2500 0.2862 1
N8 0.4735 0.2500 0.6797 1
N9 0.5265 0.7500 0.3203 1
N10 0.7210 0.7500 0.7138 1
N11 0.7299 0.0525 0.9650 1
N12 0.7299 0.4475 0.9650 1
N13 0.7701 0.5525 0.4650 1
N14 0.7701 0.9475 0.4650 1
N15 0.7790 0.2500 0.2138 1
N16 0.9735 0.2500 0.8203 1
# Electronic total energy (eV per cell): -235.29
# Raw formation energy (kJ per mole of atoms): -65.37
# Magnetic moment (μB/atom): 0.25


# NaInBi4 | Alexandria | PBE-GGA | optimized geometry
data_NaInBi4
_chemical_formula_sum 'Na1 In1 Bi4'
_space_group_name_H-M_alt 'P 1'
_space_group_IT_number 1
_cell_length_a 6.6604
_cell_length_b 6.6604
_cell_length_c 6.6604
_cell_angle_alpha 60.00
_cell_angle_beta 60.00
_cell_angle_gamma 60.00
loop_
_space_group_symop_operation_xyz
'x,y,z'
loop_
_atom_site_label
_atom_site_fract_x
_atom_site_fract_y
_atom_site_fract_z
_atom_site_occupancy
Na1 0.0000 0.0000 0.0000 1
In1 0.7500 0.7500 0.7500 1
Bi1 0.3758 0.3758 0.3758 1
Bi2 0.3758 0.3758 0.8727 1
Bi3 0.3758 0.8727 0.3758 1
Bi4 0.8727 0.3758 0.3758 1
# Electronic total energy (eV per cell): -19.37
# Energy relative to the lowest polymorph listed for this composition (eV/f.u.): 0.659
# Magnetic moment (μB/atom): 0.00


# MgAs2Cl | Alexandria | PBE-GGA | optimized geometry
data_MgAs2Cl
_chemical_formula_sum 'Mg2 As4 Cl2'
_space_group_name_H-M_alt 'P 1'
_space_group_IT_number 1
_cell_length_a 11.9455
_cell_length_b 11.9455
_cell_length_c 11.9455
_cell_angle_alpha 161.24
_cell_angle_beta 161.24
_cell_angle_gamma 26.66
loop_
_space_group_symop_operation_xyz
'x,y,z'
loop_
_atom_site_label
_atom_site_fract_x
_atom_site_fract_y
_atom_site_fract_z
_atom_site_occupancy
Mg1 0.0000 0.0000 0.0000 1
Mg2 0.7500 0.2500 0.5000 1
As1 0.0693 0.6250 0.9443 1
As2 0.3750 0.3193 0.4443 1
As3 0.6807 0.1250 0.0557 1
As4 0.8750 0.9307 0.5557 1
Cl1 0.2500 0.7500 0.5000 1
Cl2 0.5000 0.5000 0.0000 1
# Electronic total energy (eV per cell): -28.67
# Energy relative to the lowest polymorph listed for this composition (eV/f.u.): 0.786
# Raw formation energy (kJ per mole of atoms): -38.43
# Magnetic moment (μB/atom): 0.00


# Ag2HgSbN | Alexandria | PBE-GGA | optimized geometry
data_Ag2HgSbN
_chemical_formula_sum 'Ag2 Hg1 Sb1 N1'
_space_group_name_H-M_alt 'P 1'
_space_group_IT_number 1
_cell_length_a 5.3139
_cell_length_b 5.3139
_cell_length_c 5.9275
_cell_angle_alpha 90.00
_cell_angle_beta 90.00
_cell_angle_gamma 90.00
loop_
_space_group_symop_operation_xyz
'x,y,z'
loop_
_atom_site_label
_atom_site_fract_x
_atom_site_fract_y
_atom_site_fract_z
_atom_site_occupancy
Ag1 0.0000 0.5000 0.0000 1
Ag2 0.5000 0.0000 0.0000 1
Hg1 0.0000 0.0000 0.5000 1
Sb1 0.0000 0.0000 0.0000 1
N1 0.5000 0.5000 0.5000 1
# Electronic total energy (eV per cell): -12.31
# Raw formation energy (kJ per mole of atoms): 118.55
# Magnetic moment (μB/atom): 0.55


Volume? In order: 25.982 35.430 23.924 37.965 25.200 35.580 24.655 21.873 20.832 34.821 22.038 33.476 Å³ per atom.